Density functional theory data (PBE) for a geometry-optimized TePtICl structure.

Output
* electronic total energy: -3.43 eV/atom
* energy relative to the elements, uncorrected: -109 kJ/mol of formula units

Cell lengths 3.9625, 3.9625, 7.9993 Å; angles 90.00, 90.00, 120.00 degrees
Space group P3m1 (No. 156)
Asymmetric unit:
Te: 0.0000 0.0000 0.0000 x1
Pt: 0.6667 0.3333 0.1829 x1
I: 0.3333 0.6667 0.3828 x1
Cl: 0.6667 0.3333 0.7311 x1

***

Density functional theory data (PBE) for a geometry-optimized Zn3BiS structure.

Output
* electronic total energy: -1.72 eV/atom
* polymorph energy (0 for the lowest one): 417.5 meV/atom
* energy relative to the elements, uncorrected: 310 kJ/mol of formula units

Cell lengths 5.280, 5.280, 5.280 Å; angles 90.00, 90.00, 90.00 degrees
Space group Pm-3m (No. 221)
Asymmetric unit:
Zn: 0.000 0.000 0.500 x3
Bi: 0.000 0.000 0.000 x1
S: 0.500 0.500 0.500 x1

***

Density functional theory data (PBE) for a geometry-optimized Zn5GaPd structure.

Output
* electronic total energy: -2.18 eV/atom
* formation energy: -98 meV per atom

Cell lengths 9.514, 7.380, 6.967 Å; angles 90.00, 112.38, 90.00 degrees
Space group C2/c (No. 15)
Asymmetric unit:
Zn: 0.000 0.069 0.250 x4
Zn: 0.089 0.398 0.141 x8
Zn: 0.210 0.098 0.067 x8
Ga: 0.250 0.250 0.500 x4
Pd: 0.000 0.286 0.750 x4

***

Density functional theory data (PBE) for a geometry-optimized Nd2Mn3FeGe4 structure.

Output
* electronic total energy: -6.86 eV/atom
* formation energy: -462 meV per atom

Cell lengths 4.013, 4.013, 10.822 Å; angles 90.00, 90.00, 90.00 degrees
Space group P-4m2 (No. 115)
Asymmetric unit:
Nd: 0.000 0.500 0.247 x2
Mn: 0.000 0.000 0.000 x1
Mn: 0.000 0.000 0.500 x1
Mn: 0.500 0.500 0.500 x1
Fe: 0.500 0.500 0.000 x1
Ge: 0.000 0.500 0.628 x2
Ge: 0.000 0.500 0.877 x2

***

Density functional theory data (PBE) for a geometry-optimized BC3 structure.

Output
* electronic total energy: -8.32 eV/atom
* polymorph energy (0 for the lowest one): 22.8 meV/atom
* formation energy: 263 meV per atom

Cell lengths 2.497, 2.538, 11.741 Å; angles 90.00, 90.00, 90.00 degrees
Space group Pmm2 (No. 25)
Asymmetric unit:
B: 0.000 0.000 0.000 x1
B: 0.000 0.500 0.404 x1
B: 0.500 0.500 0.519 x1
C: 0.000 0.000 0.317 x1
C: 0.000 0.000 0.681 x1
C: 0.000 0.500 0.090 x1
C: 0.000 0.500 0.758 x1
C: 0.500 0.000 0.243 x1
C: 0.500 0.000 0.606 x1
C: 0.500 0.000 0.909 x1
C: 0.500 0.500 0.162 x1
C: 0.500 0.500 0.836 x1

***

Density functional theory data (PBE) for a geometry-optimized Tb2Pm3SmEr6 structure.

Output
* electronic total energy: -4.62 eV/atom
* formation energy: 16 meV per atom

Cell lengths 6.178, 10.696, 11.732 Å; angles 90.00, 100.07, 90.00 degrees
Space group C2/m (No. 12)
Asymmetric unit:
Tb: 0.000 0.167 0.000 x4
Pm: 0.000 0.000 0.500 x2
Pm: 0.000 0.333 0.500 x4
Sm: 0.000 0.500 0.000 x2
Er: 0.250 0.000 0.248 x4
Er: 0.250 0.167 0.752 x8

***

Density functional theory data (PBE) for a geometry-optimized Nd2MgPbN structure.

Output
* electronic total energy: -5.39 eV/atom
* energy relative to the elements, uncorrected: -365 kJ/mol of formula units

Cell lengths 5.091, 5.091, 4.465 Å; angles 90.00, 90.00, 90.00 degrees
Space group P4/mmm (No. 123)
Asymmetric unit:
Nd: 0.000 0.500 0.000 x2
Mg: 0.000 0.000 0.500 x1
Pb: 0.500 0.500 0.500 x1
N: 0.000 0.000 0.000 x1

***

Density functional theory data (PBE) for a geometry-optimized SrH structure.

Output
* electronic total energy: -2.89 eV/atom

Cell lengths 8.171, 8.816, 11.553 Å; angles 90.00, 90.00, 90.00 degrees
Space group Fddd (No. 70, origin choice 2)
Asymmetric unit:
Sr: 0.125 0.350 0.125 x16
H: 0.125 0.125 0.252 x16

***

Density functional theory data (PBE) for a geometry-optimized GeSb2TeO structure.

Output
* electronic total energy: -3.11 eV/atom
* polymorph energy (0 for the lowest one): 960.9 meV/atom
* energy relative to the elements, uncorrected: 521 kJ/mol of formula units

Cell lengths 5.335, 5.335, 5.249 Å; angles 90.00, 90.00, 90.00 degrees
Space group P4/mmm (No. 123)
Asymmetric unit:
Ge: 0.000 0.000 0.000 x1
Sb: 0.000 0.500 0.000 x2
Te: 0.000 0.000 0.500 x1
O: 0.500 0.500 0.500 x1

***

Density functional theory data (PBE) for a geometry-optimized K2PaPO6 structure.

Output
* electronic total energy: -7.17 eV/atom
* energy relative to the elements, uncorrected: -2395 kJ/mol of formula units

Cell lengths 5.445, 5.445, 4.567 Å; angles 90.00, 90.00, 90.00 degrees
Space group P4mm (No. 99)
Asymmetric unit:
K: 0.000 0.500 0.000 x2
Pa: 0.000 0.000 0.516 x1
P: 0.500 0.500 0.436 x1
O: 0.000 0.000 0.030 x1
O: 0.282 0.282 0.525 x4
O: 0.500 0.500 0.101 x1

***

Density functional theory data (PBE) for a geometry-optimized ZnCr2CoN structure.

Output
* electronic total energy: -7.34 eV/atom
* energy relative to the elements, uncorrected: -71 kJ/mol of formula units

Cell lengths 3.792, 3.792, 3.806 Å; angles 90.00, 90.00, 90.00 degrees
Space group P4/mmm (No. 123)
Asymmetric unit:
Zn: 0.000 0.000 0.000 x1
Cr: 0.000 0.500 0.500 x2
Co: 0.500 0.500 0.000 x1
N: 0.500 0.500 0.500 x1

***

Density functional theory data (PBE) for a geometry-optimized MnAlC3 structure.

Output
* electronic total energy: -5.53 eV/atom
* polymorph energy (0 for the lowest one): 890.7 meV/atom
* formation energy: 2584 meV per atom

Cell lengths 3.836, 3.836, 3.836 Å; angles 90.00, 90.00, 90.00 degrees
Space group Pm-3m (No. 221)
Asymmetric unit:
Mn: 0.000 0.000 0.000 x1
Al: 0.500 0.500 0.500 x1
C: 0.000 0.500 0.500 x3